Entry 1
TlCrIO2 | PBE+U | optimized geometry

Unit cell a=4.2048 b=4.2048 c=6.7207 alpha=90.00 beta=90.00 gamma=90.00
Space group P4/mmm (No. 123)
Inequivalent atoms, fractional coordinates:
Tl: 0.0000 0.0000 0.0000
Cr: 0.5000 0.5000 0.5000
I: 0.0000 0.0000 0.5000
O: 0.0000 0.5000 0.0000

Computed properties:
Magnetization   4.73 μB/cell

Entry 2
TlCrIO2 | PBE+U | optimized geometry

Unit cell a=4.1909 b=4.1909 c=5.5784 alpha=90.00 beta=90.00 gamma=90.00
Space group P4/mmm (No. 123)
Inequivalent atoms, fractional coordinates:
Tl: 0.0000 0.0000 0.0000
Cr: 0.5000 0.5000 0.5000
I: 0.5000 0.5000 0.0000
O: 0.0000 0.5000 0.5000

Computed properties:
Magnetization   2.22 μB/cell

Order of stability, best first: entry 2, entry 1

Entry 1
VCrIO2 | PBE+U | optimized geometry

Unit cell a=3.9262 b=3.9262 c=5.5850 alpha=90.00 beta=90.00 gamma=90.00
Space group P4/mmm (No. 123)
Inequivalent atoms, fractional coordinates:
V: 0.0000 0.0000 0.0000
Cr: 0.5000 0.5000 0.5000
I: 0.5000 0.5000 0.0000
O: 0.0000 0.5000 0.5000

Computed properties:
Magnetization   6.00 μB/cell

Entry 2
VCrIO2 | PBE+U | optimized geometry

Unit cell a=3.8734 b=3.8734 c=5.8613 alpha=90.00 beta=90.00 gamma=90.00
Space group P4/mmm (No. 123)
Inequivalent atoms, fractional coordinates:
V: 0.0000 0.0000 0.0000
Cr: 0.5000 0.5000 0.5000
I: 0.0000 0.0000 0.5000
O: 0.0000 0.5000 0.0000

Computed properties:
Magnetization   6.00 μB/cell

Order of stability, best first: entry 2, entry 1